(1)
The following is a PBE-GGA calculation of a relaxed structure of ZrIrCO2, from Alexandria.

Cell lengths 3.734, 3.734, 4.466 Å; angles 90.00, 90.00, 90.00 degrees
Element x y z (fractional)
Zr 0.000 0.000 0.000
Ir 0.500 0.500 0.000
C 0.000 0.000 0.500
O 0.000 0.500 0.500
O 0.500 0.000 0.500

Values from the calculation:
Formation energy (no corrections) ... 4.7 eV per formula unit
VASP energy ... -6.377 eV/atom
Space group ... No. 123



(2)
The following is a PBE-GGA calculation of a relaxed structure of DyYSc2In4, from Alexandria.

Cell lengths 8.985, 8.985, 8.985 Å; angles 33.52, 33.52, 33.52 degrees
Element x y z (fractional)
Dy 0.000 0.000 0.000
Y 0.500 0.500 0.500
Sc 0.250 0.250 0.250
Sc 0.750 0.750 0.750
In 0.125 0.125 0.125
In 0.375 0.375 0.375
In 0.625 0.625 0.625
In 0.875 0.875 0.875

Values from the calculation:
Formation enthalpy at 0 K ... -0.435 eV/atom
VASP energy ... -4.770 eV/atom
Space group ... No. 166



(3)
The following is a PBE-GGA calculation of a relaxed structure of ZrV2GaH, from Alexandria.

Cell lengths 3.888, 3.888, 4.400 Å; angles 90.00, 90.00, 90.00 degrees
Element x y z (fractional)
Zr 0.000 0.000 0.000
V 0.000 0.500 0.500
V 0.500 0.000 0.500
Ga 0.500 0.500 0.000
H 0.000 0.000 0.500

Values from the calculation:
VASP energy ... -6.817 eV/atom
Space group ... No. 123



(4)
The following is a PBE-GGA calculation of a relaxed structure of USn2Pt9, from Alexandria.

Cell lengths 4.092, 4.092, 12.301 Å; angles 90.00, 90.00, 90.00 degrees
Element x y z (fractional)
U 0.000 0.000 0.000
Sn 0.000 0.000 0.338
Sn 0.000 0.000 0.662
Pt 0.000 0.500 0.168
Pt 0.000 0.500 0.500
Pt 0.000 0.500 0.832
Pt 0.500 0.000 0.168
Pt 0.500 0.000 0.500
Pt 0.500 0.000 0.832
Pt 0.500 0.500 0.000
Pt 0.500 0.500 0.335
Pt 0.500 0.500 0.665

Values from the calculation:
Formation enthalpy at 0 K ... -0.505 eV/atom
VASP energy ... -6.644 eV/atom
Space group ... No. 123



(5)
The following is a PBE-GGA calculation of a relaxed structure of CsMgSbTe2, from Alexandria.

Cell lengths 6.430, 6.430, 6.318 Å; angles 90.00, 90.00, 90.00 degrees
Element x y z (fractional)
Cs 0.000 0.000 0.000
Mg 0.500 0.500 0.500
Sb 0.000 0.000 0.500
Te 0.000 0.500 0.000
Te 0.500 0.000 0.000

Values from the calculation:
Energy above the lowest structure with this stoichiometry ... 1295 meV per atom
Formation energy (no corrections) ... 5.4 eV per formula unit
VASP energy ... -1.494 eV/atom
Space group ... No. 123



(6)
The following is a PBE-GGA calculation of a relaxed structure of Mg2ZnOs, from Alexandria.

Cell lengths 6.340, 6.340, 6.340 Å; angles 90.00, 90.00, 90.00 degrees
Element x y z (fractional)
Mg 0.000 0.000 0.000
Mg 0.000 0.500 0.500
Mg 0.250 0.250 0.250
Mg 0.250 0.750 0.750
Mg 0.500 0.000 0.500
Mg 0.500 0.500 0.000
Mg 0.750 0.250 0.750
Mg 0.750 0.750 0.250
Zn 0.250 0.250 0.750
Zn 0.250 0.750 0.250
Zn 0.750 0.250 0.250
Zn 0.750 0.750 0.750
Os 0.000 0.000 0.500
Os 0.000 0.500 0.000
Os 0.500 0.000 0.000
Os 0.500 0.500 0.500

Values from the calculation:
Formation enthalpy at 0 K ... 0.139 eV/atom
VASP energy ... -3.784 eV/atom
Space group ... No. 216



Calculated density in order - 8.73, 6.75, 6.59, 17.98, 3.40, 7.93 Mg/m³